Entry 1:
Computed, not measured: a geometry-optimized TmPuPaPb structure at the PBE level of DFT.

Computed properties:
The calculation puts the total energy at -31.5 eV/cell.

Unit cell a=5.2909 b=5.2909 c=5.2909 alpha=60.00 beta=60.00 gamma=60.00
Element x y z (fractional)
Tm (0.0000, 0.0000, 0.0000)
Pu (0.5000, 0.5000, 0.5000)
Pa (0.7500, 0.7500, 0.7500)
Pb (0.2500, 0.2500, 0.2500)

Entry 2:
Computed, not measured: a geometry-optimized PIrCl2 structure at the PBE level of DFT.

Computed properties:
The uncorrected formation energy is -662 meV per atom. For the energy above the most stable polymorph in this dataset, the calculation gives 0.000 eV per atom. The calculation puts the total energy at -20.6 eV/cell.

Unit cell a=3.5412 b=3.5412 c=8.3079 alpha=90.00 beta=90.00 gamma=120.00
Element x y z (fractional)
P (0.0000, 0.0000, 0.0000)
Ir (0.6667, 0.3333, 0.8779)
Cl (0.0000, 0.0000, 0.2448)
Cl (0.3333, 0.6667, 0.6838)

Entry 3:
Computed, not measured: a geometry-optimized RbSrGa structure at the PBE level of DFT.

Computed properties:
The calculation puts the total energy at -11.7 eV/cell.

Unit cell a=5.8916 b=5.8916 c=9.0300 alpha=92.30 beta=92.30 gamma=81.13
Element x y z (fractional)
Rb (0.2123, 0.2123, 0.1624)
Rb (0.7877, 0.7877, 0.8376)
Sr (0.3208, 0.3208, 0.6230)
Sr (0.6792, 0.6792, 0.3770)
Ga (0.1635, 0.8365, 0.5000)
Ga (0.8365, 0.1635, 0.5000)

Entry 4:
Computed, not measured: a geometry-optimized CaCeS2O8 structure at the PBE level of DFT.

Computed properties:
The uncorrected formation energy is -1972 meV per atom. The calculation puts the total energy at -79.5 eV/cell.

Unit cell a=5.2446 b=5.2446 c=7.7061 alpha=90.00 beta=90.00 gamma=120.00
Element x y z (fractional)
Ca (0.0000, 0.0000, 0.0000)
Ce (0.0000, 0.0000, 0.5000)
S (0.3333, 0.6667, 0.8142)
S (0.6667, 0.3333, 0.1858)
O (0.1781, 0.3562, 0.7489)
O (0.1781, 0.8219, 0.7489)
O (0.3333, 0.6667, 0.0048)
O (0.3562, 0.1781, 0.2511)
O (0.6438, 0.8219, 0.7489)
O (0.6667, 0.3333, 0.9952)
O (0.8219, 0.1781, 0.2511)
O (0.8219, 0.6438, 0.2511)

Entry 5:
Computed, not measured: a geometry-optimized NpTlBi structure at the PBE level of DFT.

Computed properties:
For the energy above the most stable polymorph in this dataset, the calculation gives 0.082 eV per atom. The calculation puts the total energy at -18.5 eV/cell.

Unit cell a=5.5548 b=5.5548 c=3.2451 alpha=90.00 beta=90.00 gamma=120.00
Element x y z (fractional)
Np (0.0000, 0.0000, 0.0000)
Tl (0.6667, 0.3333, 0.4951)
Bi (0.3333, 0.6667, 0.5027)

Entry 6:
Computed, not measured: a geometry-optimized ZrBeTlRu2 structure at the PBE level of DFT.

Computed properties:
The calculation puts the total energy at -22.2 eV/cell.

Unit cell a=4.9221 b=4.9221 c=5.1859 alpha=90.00 beta=90.00 gamma=90.00
Element x y z (fractional)
Zr (0.0000, 0.0000, 0.0000)
Be (0.5000, 0.5000, 0.0000)
Tl (0.0000, 0.0000, 0.5000)
Ru (0.0000, 0.5000, 0.5000)
Ru (0.5000, 0.0000, 0.5000)

Question: Which formula does entry 6 have?
Answer: ZrBeTlRu2

Question: What is the formula in the fourth record?
Answer: CaCeS2O8

What did the sixth record say?
Computed, not measured: a geometry-optimized ZrBeTlRu2 structure at the PBE level of DFT.

Computed properties:
The calculation puts the total energy at -22.2 eV/cell.

Unit cell a=4.9221 b=4.9221 c=5.1859 alpha=90.00 beta=90.00 gamma=90.00
Element x y z (fractional)
Zr (0.0000, 0.0000, 0.0000)
Be (0.5000, 0.5000, 0.0000)
Tl (0.0000, 0.0000, 0.5000)
Ru (0.0000, 0.5000, 0.5000)
Ru (0.5000, 0.0000, 0.5000)